Entry 1:
CsPa (PBE, optimized geometry); total magnetization = 2.07 μB/cell; SG = No. 225; electronic total energy = -5.50 eV per cell
1.0
0.0000 3.2398 3.2398
3.2398 0.0000 3.2398
3.2398 3.2398 0.0000
Pa Cs
1 1
Direct
0.5000 0.5000 0.5000 Pa
0.0000 0.0000 0.0000 Cs

Entry 2:
CsPaPb (PBE, optimized geometry); total magnetization = 1.96 μB/cell; SG = No. 216; electronic total energy = -10.86 eV per cell
1.0
0.0000 3.8844 3.8844
3.8844 0.0000 3.8844
3.8844 3.8844 0.0000
Cs Pa Pb
1 1 1
Direct
0.2500 0.2500 0.2500 Cs
0.0000 0.0000 0.0000 Pa
0.7500 0.7500 0.7500 Pb

Entry 3:
CsPaPb (PBE, optimized geometry); total magnetization = 1.99 μB/cell; SG = No. 216; electronic total energy = -9.67 eV per cell
1.0
2.0428 -1.5610 4.7826
5.0741 -1.9108 0.2913
3.8801 2.9531 2.3889
Pa Pb Cs
1 1 1
Direct
0.7500 0.7500 0.7500 Pa
0.2500 0.2500 0.2500 Pb
0.0000 0.0000 0.0000 Cs

Entry 4:
CsPaPd (PBE, optimized geometry); total magnetization = 1.83 μB/cell; SG = No. 216; electronic total energy = -12.53 eV per cell
1.0
3.2231 -2.4798 3.1307
-1.6131 -4.1157 2.6072
1.7161 -4.6700 -1.2591
Pd Cs Pa
1 1 1
Direct
0.0000 0.0000 0.0000 Pd
0.2500 0.2500 0.2500 Cs
0.7500 0.7500 0.7500 Pa

Entry 5:
CsPaPd (PBE, optimized geometry); total magnetization = 1.64 μB/cell; SG = No. 216; electronic total energy = -11.22 eV per cell
1.0
-0.7377 -3.6776 -3.1352
-0.8702 -4.5074 1.6807
-4.4534 -1.9631 -0.4608
Cs Pa Pd
1 1 1
Direct
0.0000 0.0000 0.0000 Cs
0.2500 0.2500 0.2500 Pa
0.7500 0.7500 0.7500 Pd

Entry 6:
CsPmPa (PBE, optimized geometry); total magnetization = 4.13 μB/cell; SG = No. 216; electronic total energy = -9.70 eV per cell
1.0
-0.2888 -5.4593 -1.8446
0.8519 -4.3442 3.7003
-4.4227 -3.3500 1.5836
Pa Pm Cs
1 1 1
Direct
0.0000 0.0000 0.0000 Pa
0.2500 0.2500 0.2500 Pm
0.5000 0.5000 0.5000 Cs

Number 1: excess energy over the best structure of this formula in the dataset 1.186 eV/atom. Number 2: excess energy over the best structure of this formula in the dataset 0.000 eV/atom. Number 3: excess energy over the best structure of this formula in the dataset 0.395 eV/atom. Number 4: excess energy over the best structure of this formula in the dataset 0.000 eV/atom. Number 5: excess energy over the best structure of this formula in the dataset 0.436 eV/atom. Number 6: excess energy over the best structure of this formula in the dataset 0.000 eV/atom.